1.
Material: Nb2HgPt
Method: DFT, PBE-GGA
State: optimized geometry

abc: 6.0393 6.0393 6.0393
angles: 101.72 101.72 126.41
Atoms (fractional coordinates):
Nb 0.0929 0.6250 0.9679
Nb 0.3750 0.3429 0.4679
Nb 0.6571 0.1250 0.0321
Nb 0.8750 0.9071 0.5321
Hg 0.2500 0.7500 0.5000
Hg 0.5000 0.5000 0.0000
Pt 0.0000 0.0000 0.0000
Pt 0.7500 0.2500 0.5000

Electronic total energy: -6.358 eV/atom
Calculated formation energy: 1.1 eV/f.u.

---

2.
Material: NbHgPt2
Method: DFT, PBE-GGA
State: optimized geometry

abc: 5.9622 5.9622 5.9622
angles: 103.09 103.09 123.17
Atoms (fractional coordinates):
Nb 0.0000 0.0000 0.0000
Nb 0.7500 0.2500 0.5000
Hg 0.2500 0.7500 0.5000
Hg 0.5000 0.5000 0.0000
Pt 0.0984 0.1250 0.4734
Pt 0.3750 0.9016 0.0266
Pt 0.6516 0.6250 0.5266
Pt 0.8750 0.3484 0.9734

Electronic total energy: -5.517 eV/atom
Calculated formation energy: 0.4 eV/f.u.

---

3.
Material: NbHgPt3
Method: DFT, PBE-GGA
State: optimized geometry

abc: 4.9189 4.9189 4.9189
angles: 90.00 90.00 90.00
Atoms (fractional coordinates):
Nb 0.0000 0.0000 0.0000
Hg 0.5000 0.5000 0.5000
Pt 0.0000 0.0000 0.5000
Pt 0.0000 0.5000 0.0000
Pt 0.5000 0.0000 0.0000

Excess energy over the best structure of this formula in the dataset: 0.0 meV/atom
Electronic total energy: -4.802 eV/atom
Calculated formation energy: 4.5 eV/f.u.

---

4.
Material: NbHgPt3
Method: DFT, PBE-GGA
State: optimized geometry

abc: 4.9336 4.9336 4.9336
angles: 90.00 90.00 90.00
Atoms (fractional coordinates):
Nb 0.0000 0.0000 0.0000
Hg 0.5000 0.5000 0.5000
Pt 0.0000 0.5000 0.5000
Pt 0.5000 0.0000 0.5000
Pt 0.5000 0.5000 0.0000

Excess energy over the best structure of this formula in the dataset: 661.7 meV/atom
Electronic total energy: -4.141 eV/atom
Calculated formation energy: 7.8 eV/f.u.

---

5.
Material: Nb2HgPt2
Method: DFT, PBE-GGA
State: optimized geometry

abc: 8.0504 8.0504 2.8636
angles: 90.00 90.00 90.00
Atoms (fractional coordinates):
Nb 0.1661 0.3339 0.0000
Nb 0.3339 0.8339 0.0000
Nb 0.6661 0.1661 0.0000
Nb 0.8339 0.6661 0.0000
Hg 0.0000 0.0000 0.0000
Hg 0.5000 0.5000 0.0000
Pt 0.1269 0.6269 0.5000
Pt 0.3731 0.1269 0.5000
Pt 0.6269 0.8731 0.5000
Pt 0.8731 0.3731 0.5000

Excess energy over the best structure of this formula in the dataset: 100.8 meV/atom
Electronic total energy: -6.762 eV/atom
Calculated formation energy: -1.3 eV/f.u.

---

6.
Material: Nb2HgPt2
Method: DFT, PBE-GGA
State: optimized geometry

abc: 7.9304 7.9304 2.8860
angles: 90.00 90.00 90.00
Atoms (fractional coordinates):
Nb 0.1698 0.3302 0.0000
Nb 0.3302 0.8302 0.0000
Nb 0.6698 0.1698 0.0000
Nb 0.8302 0.6698 0.0000
Hg 0.0000 0.0000 0.5000
Hg 0.5000 0.5000 0.5000
Pt 0.1246 0.6246 0.5000
Pt 0.3754 0.1246 0.5000
Pt 0.6246 0.8754 0.5000
Pt 0.8754 0.3754 0.5000

Excess energy over the best structure of this formula in the dataset: 0.0 meV/atom
Electronic total energy: -6.863 eV/atom
Calculated formation energy: -1.8 eV/f.u.

---

7.
Material: NbHgRuPt2
Method: DFT, PBE-GGA
State: optimized geometry

abc: 4.8784 4.8784 4.9732
angles: 90.00 90.00 90.00
Atoms (fractional coordinates):
Nb 0.0000 0.0000 0.0000
Hg 0.0000 0.0000 0.5000
Ru 0.5000 0.5000 0.0000
Pt 0.0000 0.5000 0.5000
Pt 0.5000 0.0000 0.5000

Electronic total energy: -4.249 eV/atom
Calculated formation energy: 10.5 eV/f.u.

---

8.
Material: YNb2HgPt
Method: DFT, PBE-GGA
State: optimized geometry

abc: 4.9168 4.9168 5.2754
angles: 90.00 90.00 90.00
Atoms (fractional coordinates):
Y 0.0000 0.0000 0.0000
Nb 0.0000 0.5000 0.0000
Nb 0.5000 0.0000 0.0000
Hg 0.0000 0.0000 0.5000
Pt 0.5000 0.5000 0.5000

Electronic total energy: -4.672 eV/atom
Calculated formation energy: 9.6 eV/f.u.